# 1
! NbCdTe2Au, single point on PBEsol structure, DFT meta-GGA SCAN; values from VASP
! total magnetic moment = 0.50 μB/atom
! formation energy without anion corrections = 0.9366 eV per atom
&SYSTEM
  ibrav = 0, nat = 5, ntyp = 4
/
ATOMIC_SPECIES
Nb 92.91 Nb.upf
Te 127.60 Te.upf
Au 196.97 Au.upf
Cd 112.41 Cd.upf
ATOMIC_POSITIONS crystal
Nb 0.500 0.500 0.500
Te 0.000 0.000 0.500
Te 0.000 0.500 0.000
Au 0.500 0.000 0.000
Cd 0.000 0.000 0.000
CELL_PARAMETERS angstrom
4.961 0.000 0.000
0.000 5.404 0.000
0.000 0.000 5.404

=====

# 2
! NdCdAu, single point on PBEsol structure, DFT meta-GGA SCAN; values from VASP
! total magnetic moment = 0.00 μB/atom
! energy of formation = -0.833 eV/atom
&SYSTEM
  ibrav = 0, nat = 9, ntyp = 3
/
ATOMIC_SPECIES
Nd 144.24 Nd.upf
Au 196.97 Au.upf
Cd 112.41 Cd.upf
ATOMIC_POSITIONS crystal
Nd 0.000 0.000 0.404
Nd 0.000 0.596 0.596
Nd 0.000 0.404 0.000
Au 0.500 0.333 0.667
Au 0.500 0.667 0.333
Au 0.000 0.000 0.000
Cd 0.500 0.000 0.744
Cd 0.500 0.256 0.256
Cd 0.500 0.744 0.000
CELL_PARAMETERS angstrom
4.002 0.000 0.000
0.000 7.760 0.000
0.000 -3.880 6.720

=====

# 3
! Nd2CdAu2, single point on PBEsol structure, DFT meta-GGA SCAN; values from VASP
! total magnetic moment = 0.00 μB/atom
! energy of formation = -0.915 eV/atom
&SYSTEM
  ibrav = 0, nat = 10, ntyp = 3
/
ATOMIC_SPECIES
Nd 144.24 Nd.upf
Au 196.97 Au.upf
Cd 112.41 Cd.upf
ATOMIC_POSITIONS crystal
Nd 0.500 0.672 0.828
Nd 0.500 0.828 0.328
Nd 0.500 0.172 0.672
Nd 0.500 0.328 0.172
Au 0.000 0.372 0.872
Au 0.000 0.128 0.372
Au 0.000 0.872 0.628
Au 0.000 0.628 0.128
Cd 0.000 0.000 0.000
Cd 0.000 0.500 0.500
CELL_PARAMETERS angstrom
3.830 0.000 0.000
0.000 7.961 0.000
0.000 0.000 7.961

=====

# 4
! Cd2NiAu, single point on PBEsol structure, DFT meta-GGA SCAN; values from VASP
! energy above the most stable polymorph in this dataset = 0.003 eV/atom
! total magnetic moment = 0.00 μB/atom
! energy of formation = -0.036 eV/atom
&SYSTEM
  ibrav = 0, nat = 4, ntyp = 3
/
ATOMIC_SPECIES
Ni 58.69 Ni.upf
Au 196.97 Au.upf
Cd 112.41 Cd.upf
ATOMIC_POSITIONS crystal
Ni 0.500 0.500 0.000
Au 0.000 0.000 0.000
Cd 0.750 0.250 0.500
Cd 0.250 0.750 0.500
CELL_PARAMETERS angstrom
4.099 0.000 0.000
0.000 4.099 0.000
-2.049 -2.049 3.894

=====

# 5
! Cd2NiAu, single point on PBEsol structure, DFT meta-GGA SCAN; values from VASP
! energy above the most stable polymorph in this dataset = 0.000 eV/atom
! total magnetic moment = 0.00 μB/atom
! energy of formation = -0.039 eV/atom
&SYSTEM
  ibrav = 0, nat = 4, ntyp = 3
/
ATOMIC_SPECIES
Ni 58.69 Ni.upf
Au 196.97 Au.upf
Cd 112.41 Cd.upf
ATOMIC_POSITIONS crystal
Ni 0.500 0.500 0.000
Au 0.500 0.000 0.500
Cd 0.000 0.000 0.000
Cd 0.000 0.500 0.500
CELL_PARAMETERS angstrom
3.923 0.000 0.000
0.000 4.087 0.000
0.000 0.000 4.084

=====

# 6
! CdNi3Au, single point on PBEsol structure, DFT meta-GGA SCAN; values from VASP
! total magnetic moment = 0.64 μB/atom
! energy of formation = 1.089 eV/atom
&SYSTEM
  ibrav = 0, nat = 5, ntyp = 3
/
ATOMIC_SPECIES
Ni 58.69 Ni.upf
Au 196.97 Au.upf
Cd 112.41 Cd.upf
ATOMIC_POSITIONS crystal
Ni 0.000 0.500 0.000
Ni 0.000 0.000 0.500
Ni 0.500 0.000 0.000
Au 0.000 0.000 0.000
Cd 0.500 0.500 0.500
CELL_PARAMETERS angstrom
-3.784 -1.258 -2.272
-0.198 -3.864 2.469
-2.589 2.134 3.132

=====

# 7
! CdAuO2, single point on PBEsol structure, DFT meta-GGA SCAN; values from VASP
! total magnetic moment = 0.15 μB/atom
! formation energy without anion corrections = -0.5818 eV per atom
&SYSTEM
  ibrav = 0, nat = 4, ntyp = 3
/
ATOMIC_SPECIES
Au 196.97 Au.upf
O 16.00 O.upf
Cd 112.41 Cd.upf
ATOMIC_POSITIONS crystal
Au 0.000 0.000 0.000
O 0.895 0.895 0.314
O 0.105 0.105 0.686
Cd 0.500 0.500 0.500
CELL_PARAMETERS angstrom
3.352 0.000 0.000
1.676 2.903 0.000
1.676 0.968 6.191

=====

# 8
! CdAuO2, single point on PBEsol structure, DFT meta-GGA SCAN; values from VASP
! total magnetic moment = 0.24 μB/atom
! formation energy without anion corrections = -0.2988 eV per atom
&SYSTEM
  ibrav = 0, nat = 8, ntyp = 3
/
ATOMIC_SPECIES
Au 196.97 Au.upf
O 16.00 O.upf
Cd 112.41 Cd.upf
ATOMIC_POSITIONS crystal
Au 0.000 0.000 0.000
Au 0.500 0.750 0.250
O 0.009 0.634 0.125
O 0.991 0.116 0.625
O 0.491 0.375 0.366
O 0.509 0.875 0.884
Cd 0.000 0.500 0.500
Cd 0.500 0.250 0.750
CELL_PARAMETERS angstrom
-4.358 -0.481 -2.797
-0.153 -2.991 4.252
0.620 4.877 1.696

=====

# 9
! CdAuO2, single point on PBEsol structure, DFT meta-GGA SCAN; values from VASP
! total magnetic moment = 0.00 μB/atom
! formation energy without anion corrections = -0.6926 eV per atom
&SYSTEM
  ibrav = 0, nat = 8, ntyp = 3
/
ATOMIC_SPECIES
Au 196.97 Au.upf
O 16.00 O.upf
Cd 112.41 Cd.upf
ATOMIC_POSITIONS crystal
Au 0.000 0.000 0.000
Au 0.000 0.500 0.000
O 0.000 0.176 0.353
O 0.000 0.824 0.647
O 0.500 0.391 0.783
O 0.500 0.609 0.217
Cd 0.500 0.000 0.500
Cd 0.500 0.500 0.500
CELL_PARAMETERS angstrom
3.152 0.000 0.000
0.000 6.165 0.000
0.000 -3.083 5.818

=====

# 10
! CdP2AuO, single point on PBEsol structure, DFT meta-GGA SCAN; values from VASP
! total magnetic moment = 0.03 μB/atom
! formation energy without anion corrections = 0.6905 eV per atom
&SYSTEM
  ibrav = 0, nat = 5, ntyp = 4
/
ATOMIC_SPECIES
P 30.97 P.upf
Au 196.97 Au.upf
O 16.00 O.upf
Cd 112.41 Cd.upf
ATOMIC_POSITIONS crystal
P 0.000 0.000 0.500
P 0.000 0.500 0.000
Au 0.000 0.000 0.000
O 0.500 0.000 0.000
Cd 0.500 0.500 0.500
CELL_PARAMETERS angstrom
-2.556 -2.907 0.130
1.310 -1.353 -4.511
3.431 -2.933 1.876

=====

# 11
! Cd2OsAu, single point on PBEsol structure, DFT meta-GGA SCAN; values from VASP
! energy above the most stable polymorph in this dataset = 0.025 eV/atom
! total magnetic moment = 0.00 μB/atom
! energy of formation = 0.338 eV/atom
&SYSTEM
  ibrav = 0, nat = 4, ntyp = 3
/
ATOMIC_SPECIES
Au 196.97 Au.upf
Cd 112.41 Cd.upf
Os 190.23 Os.upf
ATOMIC_POSITIONS crystal
Au 0.500 0.500 0.500
Cd 0.000 0.000 0.759
Cd 0.000 0.000 0.241
Os 0.500 0.500 0.000
CELL_PARAMETERS angstrom
-1.624 -0.150 -2.325
0.471 -2.797 -0.149
-6.787 -1.401 4.832

=====

# 12
! Cd2OsAu, single point on PBEsol structure, DFT meta-GGA SCAN; values from VASP
! energy above the most stable polymorph in this dataset = 0.000 eV/atom
! total magnetic moment = 0.01 μB/atom
! energy of formation = 0.313 eV/atom
&SYSTEM
  ibrav = 0, nat = 4, ntyp = 3
/
ATOMIC_SPECIES
Au 196.97 Au.upf
Cd 112.41 Cd.upf
Os 190.23 Os.upf
ATOMIC_POSITIONS crystal
Au 0.000 0.000 0.000
Cd 0.248 0.248 0.256
Cd 0.752 0.752 0.744
Os 0.500 0.500 0.500
CELL_PARAMETERS angstrom
-0.663 1.783 2.166
-2.649 -0.038 1.139
1.666 -5.947 7.324